# 1
First-principles (GGA-PBEsol) data for a geometry-optimized ScFeSb2 structure, as listed in the Alexandria database.

abc: 6.756 6.756 6.756
angles: 90.00 90.00 90.00
Space group Fm-3m (No. 225)
One atom of each set of equivalent atoms:
Sc: 0.000 0.000 0.000
Fe: 0.000 0.000 0.500
Sb: 0.250 0.250 0.250

Properties
ΔE to the lowest computed polymorph = 6.67 kJ/mol of atoms
Total magnetization = 7.09 Bohr magnetons per cell
Formation energy from raw total energies = -0.08 eV per atom
Total energy = -100.04 eV per cell
DOS at the Fermi energy = 13.86 states/eV/cell
Mass density = 7.416 g/cm³

***

# 2
First-principles (GGA-PBEsol) data for a geometry-optimized ScFe2Sb structure, as listed in the Alexandria database.

abc: 3.0959 3.0959 23.3420
angles: 90.00 90.00 120.00
Space group R-3m (No. 166, hexagonal axes)
One atom of each set of equivalent atoms:
Sc: 0.0000 0.0000 0.0000
Fe: 0.0000 0.0000 0.2470
Sb: 0.0000 0.0000 0.5000

Properties
Total magnetization = 7.43 Bohr magnetons per cell
Formation energy from raw total energies = 0.34 eV per atom
Total energy = -83.16 eV per cell
DOS at the Fermi energy = 13.67 states/eV/cell
Mass density = 7.158 g/cm³

***

# 3
First-principles (GGA-PBEsol) data for a geometry-optimized Sc6FeSb2 structure, as listed in the Alexandria database.

abc: 7.5587 7.5587 3.8341
angles: 90.00 90.00 120.00
Space group P-62m (No. 189)
One atom of each set of equivalent atoms:
Sc: 0.0000 0.3894 0.0000
Sc: 0.0000 0.7681 0.5000
Fe: 0.0000 0.0000 0.0000
Sb: 0.3333 0.6667 0.5000

Properties
Total magnetization = 0.01 Bohr magnetons per cell
Formation energy from raw total energies = -0.61 eV per atom
Total energy = -63.24 eV per cell
DOS at the Fermi energy = 7.69 states/eV/cell
Mass density = 4.981 g/cm³

***

# 4
First-principles (GGA-PBEsol) data for a geometry-optimized ScFeSb2Te structure, as listed in the Alexandria database.

abc: 4.703 4.703 5.524
angles: 90.00 90.00 90.00
Space group P4/mmm (No. 123)
One atom of each set of equivalent atoms:
Sc: 0.000 0.000 0.000
Fe: 0.500 0.500 0.500
Sb: 0.000 0.500 0.500
Te: 0.500 0.500 0.000

Properties
ΔE to the lowest computed polymorph = 0.00 kJ/mol of atoms
Total magnetization = 0.82 Bohr magnetons per cell
Formation energy from raw total energies = 0.18 eV per atom
Total energy = -27.33 eV per cell
DOS at the Fermi energy = 4.62 states/eV/cell
Mass density = 6.414 g/cm³

***

# 5
First-principles (GGA-PBEsol) data for a geometry-optimized ScFeSb2Te structure, as listed in the Alexandria database.

abc: 5.371 5.371 5.315
angles: 90.00 90.00 90.00
Space group P4/mmm (No. 123)
One atom of each set of equivalent atoms:
Sc: 0.000 0.000 0.000
Fe: 0.500 0.500 0.500
Sb: 0.000 0.500 0.000
Te: 0.000 0.000 0.500

Properties
ΔE to the lowest computed polymorph = 57.44 kJ/mol of atoms
Total magnetization = 3.36 Bohr magnetons per cell
Formation energy from raw total energies = 0.77 eV per atom
Total energy = -24.35 eV per cell
DOS at the Fermi energy = 8.50 states/eV/cell
Mass density = 5.112 g/cm³

***

# 6
First-principles (GGA-PBEsol) data for a geometry-optimized FeSb2Se structure, as listed in the Alexandria database.

abc: 6.862 6.862 6.862
angles: 90.00 90.00 90.00
Space group Fm-3m (No. 225)
One atom of each set of equivalent atoms:
Fe: 0.000 0.000 0.000
Sb: 0.250 0.250 0.250
Se: 0.000 0.000 0.500

Properties
Total magnetization = 9.49 Bohr magnetons per cell
Formation energy from raw total energies = 0.51 eV per atom
Total energy = -79.60 eV per cell
DOS at the Fermi energy = 15.58 states/eV/cell
Mass density = 7.776 g/cm³

***

# 7
First-principles (GGA-PBEsol) data for a geometry-optimized FeSb2Se structure, as listed in the Alexandria database.

abc: 3.120 4.624 11.789
angles: 90.00 90.00 90.00
Space group Imm2 (No. 44)
One atom of each set of equivalent atoms:
Fe: 0.000 0.000 0.000
Sb: 0.000 0.000 0.529
Sb: 0.000 0.500 0.697
Se: 0.000 0.500 0.351

Properties
Total magnetization = 3.22 Bohr magnetons per cell
Formation energy from raw total energies = 0.15 eV per atom
Total energy = -42.65 eV per cell
DOS at the Fermi energy = 7.93 states/eV/cell
Mass density = 7.387 g/cm³

***

# 8
First-principles (GGA-PBEsol) data for a geometry-optimized FeSn2SbSe structure, as listed in the Alexandria database.

abc: 5.161 5.161 4.249
angles: 90.00 90.00 90.00
Space group P4/mmm (No. 123)
One atom of each set of equivalent atoms:
Fe: 0.000 0.000 0.000
Sn: 0.000 0.500 0.000
Sb: 0.500 0.500 0.500
Se: 0.000 0.000 0.500

Properties
Total magnetization = 0.00 Bohr magnetons per cell
Formation energy from raw total energies = 0.13 eV per atom
Total energy = -25.25 eV per cell
DOS at the Fermi energy = 2.93 states/eV/cell
Mass density = 7.248 g/cm³